Record 1
PmAg9Hg2 | the Alexandria database | PBE | relaxed; N(E_F) = 5.4 states/eV/cell; crystal system = trigonal; energy of formation from the pure elements = -0.02 eV/atom
1.0
2.842 1.641 8.966
-2.842 1.641 8.966
0.000 -3.281 8.966
Pm Ag Hg
1 9 2
Cartesian
0.000 0.000 0.000
-1.441 -0.832 11.256
0.000 0.000 8.975
0.000 -1.664 15.642
-1.441 0.832 15.642
0.000 0.000 13.449
1.441 -0.832 11.256
0.000 1.664 11.256
0.000 0.000 17.923
1.441 0.832 15.642
0.000 0.000 3.689
0.000 0.000 23.209

=====

Record 2
Na3Ac3GeO8 | the Alexandria database | PBE | relaxed; E_form (uncorrected) = -2.288 eV per atom; crystal system = trigonal
1.0
3.638 2.100 5.563
-3.638 2.100 5.563
0.000 -4.201 5.563
Na Ac Ge O
3 3 1 8
Cartesian
-1.819 -1.050 5.563
-1.819 1.050 11.125
0.000 2.100 5.563
-3.638 0.000 8.344
-1.819 1.050 2.781
1.819 1.050 2.781
0.000 0.000 8.344
0.000 0.000 4.026
-1.482 -0.856 9.442
0.000 -1.712 7.246
-1.482 0.856 7.246
1.482 -0.856 9.442
0.000 1.712 9.442
1.482 0.856 7.246
0.000 0.000 12.662

=====

Record 3
Dy4YHoSe8 | the Alexandria database | PBE | relaxed; N(E_F) = 8.4 states/eV/cell; E_form (uncorrected) = -1.718 eV per atom; crystal system = trigonal
1.0
4.205 2.428 6.869
-4.205 2.428 6.869
0.000 -4.856 6.869
Dy Y Ho Se
4 1 1 8
Cartesian
0.000 0.000 0.000
-2.101 -1.213 9.448
2.101 -1.213 9.448
0.000 2.426 9.448
0.000 0.000 12.877
0.000 0.000 5.158
0.000 -2.297 11.110
-1.989 1.148 11.110
0.000 0.000 7.878
-1.979 -1.143 14.654
1.989 1.148 11.110
1.979 -1.143 14.654
0.000 2.286 14.654
0.000 0.000 17.878

=====

Record 4
Sc2AgHg | the Alexandria database | PBE | relaxed; N(E_F) = 12.3 states/eV/cell; crystal system = tetragonal; energy of formation from the pure elements = 0.05 eV/atom
1.0
-3.800 3.800 3.248
3.800 -3.800 3.248
3.800 3.800 -3.248
Sc Ag Hg
4 2 2
Cartesian
5.700 1.834 -0.812
1.834 1.900 0.812
-1.900 1.966 2.436
1.966 1.900 4.060
0.000 0.000 0.000
0.000 3.800 1.624
3.800 0.000 1.624
0.000 0.000 3.248

=====

Record 5
Pr6Al2Pt | the Alexandria database | PBE | relaxed; N(E_F) = 21.3 states/eV/cell; crystal system = monoclinic; energy of formation from the pure elements = -0.32 eV/atom
1.0
5.900 0.000 0.000
0.000 9.015 0.000
-5.439 0.000 10.298
Pr Al Pt
12 4 2
Cartesian
-2.313 1.654 4.484
-5.032 2.853 9.633
0.542 0.159 2.837
-2.177 4.348 7.986
-0.197 5.967 4.482
-2.916 7.555 9.631
3.377 1.460 0.667
0.658 3.048 5.816
2.639 4.666 2.312
-0.081 8.856 7.461
5.494 6.162 0.665
2.774 7.360 5.814
-2.957 1.233 7.691
-0.238 3.274 2.542
0.699 5.740 7.756
3.419 7.782 2.607
0.000 0.000 0.000
-2.719 4.507 5.149

=====

Record 6
Cs3RhI6 | the Alexandria database | PBE | relaxed; E_form (uncorrected) = -0.978 eV per atom; crystal system = monoclinic
1.0
7.402 -4.248 0.000
7.402 4.248 0.000
-4.920 0.000 7.833
Cs Rh I
3 1 6
Cartesian
0.000 0.000 0.000
-0.135 0.000 5.776
10.019 0.000 2.057
4.942 0.000 3.916
3.393 1.908 5.061
3.344 0.000 1.696
6.491 1.908 2.771
3.393 -1.908 5.061
6.540 0.000 6.136
6.491 -1.908 2.771

=====

Record 7
HgW | the Alexandria database | PBE | relaxed; energy above the most stable polymorph in this dataset = 0.4725 eV per atom; N(E_F) = 1.9 states/eV/cell; crystal system = trigonal; energy of formation from the pure elements = 0.98 eV/atom
1.0
2.175 1.256 5.142
-2.175 1.256 5.142
0.000 -2.511 5.142
Hg W
2 2
Cartesian
0.000 0.000 1.753
0.000 0.000 13.672
0.000 0.000 5.134
0.000 0.000 10.292

=====

Record 8
Ho2LuAu | the Alexandria database | PBE | relaxed; energy above the most stable polymorph in this dataset = 0.1277 eV per atom; N(E_F) = 4.9 states/eV/cell; crystal system = tetragonal; energy of formation from the pure elements = -0.26 eV/atom
1.0
4.675 0.000 0.000
0.000 4.675 0.000
0.000 0.000 4.659
Ho Lu Au
2 1 1
Cartesian
0.000 2.338 0.000
2.338 0.000 0.000
0.000 0.000 2.329
2.338 2.338 2.329

=====

Record 9
KNbO3 | the Alexandria database | PBE | relaxed; N(E_F) = 0.0 states/eV/cell; E_form (uncorrected) = -2.402 eV per atom; crystal system = cubic
1.0
0.000 5.373 5.373
5.373 0.000 5.373
5.373 5.373 0.000
K Nb O
4 4 12
Cartesian
0.000 0.000 0.000
2.686 2.686 0.000
2.686 0.000 2.686
0.000 2.686 2.686
5.373 2.686 2.686
2.686 5.373 2.686
2.686 2.686 5.373
5.373 5.373 5.373
4.030 4.030 2.004
4.030 2.004 4.030
6.055 4.030 4.030
6.716 6.716 4.691
6.716 4.691 6.716
8.741 6.716 6.716
2.004 4.030 4.030
4.030 6.055 4.030
4.030 4.030 6.055
4.691 6.716 6.716
6.716 8.741 6.716
6.716 6.716 8.741

=====

Record 10
Ba2ZnNi | the Alexandria database | PBE | relaxed; N(E_F) = 9.2 states/eV/cell; crystal system = tetragonal; energy of formation from the pure elements = 0.27 eV/atom
1.0
-4.276 4.276 3.860
4.276 -4.276 3.860
4.276 4.276 -3.860
Ba Zn Ni
4 2 2
Cartesian
6.415 1.796 -0.965
1.796 2.138 0.965
-2.138 2.480 2.895
2.480 2.138 4.825
4.276 0.000 1.930
0.000 0.000 3.860
0.000 0.000 0.000
0.000 4.276 1.930

=====

Record 11
ErSnIrO6 | the Alexandria database | PBE | relaxed; N(E_F) = 13.6 states/eV/cell; E_form (uncorrected) = -1.675 eV per atom; crystal system = trigonal
1.0
5.353 0.000 0.000
-2.677 4.636 0.000
0.000 0.000 9.023
Er Sn Ir O
2 2 2 12
Cartesian
0.000 3.091 2.256
2.677 1.545 6.767
0.000 0.000 0.000
0.000 0.000 4.512
0.000 3.091 6.767
2.677 1.545 2.256
-0.774 1.636 5.634
-1.647 3.148 7.901
0.774 1.636 7.901
-0.873 4.488 5.634
1.804 0.148 1.122
1.030 1.488 3.389
1.647 3.148 5.634
0.873 4.488 7.901
3.550 0.148 3.389
1.903 3.000 1.122
4.324 1.488 1.122
3.451 3.000 3.389

=====

Record 12
HoNi5Ir2 | the Alexandria database | PBE | relaxed; N(E_F) = 12.8 states/eV/cell; crystal system = orthorhombic; energy of formation from the pure elements = -0.01 eV/atom
1.0
-1.850 3.357 4.721
1.850 -3.357 4.721
1.850 3.357 -4.721
Ho Ni Ir
1 5 2
Cartesian
0.000 0.000 0.000
1.850 2.148 -1.220
1.850 2.148 1.220
0.000 3.357 0.000
0.000 1.209 3.501
0.000 1.209 5.942
1.850 0.000 2.293
0.000 3.357 2.428

=====

What did the fifth record say?
Pr6Al2Pt | the Alexandria database | PBE | relaxed; N(E_F) = 21.3 states/eV/cell; crystal system = monoclinic; energy of formation from the pure elements = -0.32 eV/atom
1.0
5.900 0.000 0.000
0.000 9.015 0.000
-5.439 0.000 10.298
Pr Al Pt
12 4 2
Cartesian
-2.313 1.654 4.484
-5.032 2.853 9.633
0.542 0.159 2.837
-2.177 4.348 7.986
-0.197 5.967 4.482
-2.916 7.555 9.631
3.377 1.460 0.667
0.658 3.048 5.816
2.639 4.666 2.312
-0.081 8.856 7.461
5.494 6.162 0.665
2.774 7.360 5.814
-2.957 1.233 7.691
-0.238 3.274 2.542
0.699 5.740 7.756
3.419 7.782 2.607
0.000 0.000 0.000
-2.719 4.507 5.149